This record from OQMD describes an optimized crystal structure of Pm2Gd2O5. The functional is PBE-GGA.

Its energy is -68.699 eV/f.u. The calculation puts the calculated density at 7.7 g/cm3.

```
data_Pm2Gd2O5
_symmetry_space_group_name_H-M 'P 4/m m m'
_symmetry_Int_Tables_number 123
_symmetry_space_group_name_Hall '-P 4 2'
_cell_length_a 4.1219
_cell_length_b 4.1219
_cell_length_c 8.6564
_cell_angle_alpha 90.00
_cell_angle_beta 90.00
_cell_angle_gamma 90.00
loop_
_atom_site_label
_atom_site_type_symbol
_atom_site_fract_x
_atom_site_fract_y
_atom_site_fract_z
_atom_site_occupancy
Pm1 Pm 0.0000 0.0000 0.0000 1
Pm2 Pm 0.0000 0.0000 0.5000 1
Gd1 Gd 0.5000 0.5000 0.2460 1
O1 O 0.0000 0.5000 0.1556 1
O2 O 0.5000 0.5000 0.5000 1
```


This record from OQMD describes an optimized crystal structure of PmGdO3. The functional is PBE-GGA.

Its energy is -41.411 eV/f.u. The calculation puts the calculated density at 8.1 g/cm3.

```
data_PmGdO3
_symmetry_space_group_name_H-M 'P 3 m 1'
_symmetry_Int_Tables_number 156
_cell_length_a 3.7483
_cell_length_b 3.7483
_cell_length_c 5.9305
_cell_angle_alpha 90.00
_cell_angle_beta 90.00
_cell_angle_gamma 120.00
loop_
_symmetry_equiv_pos_as_xyz
'x,y,z'
'-y,x-y,z'
'-x+y,-x,z'
'-y,-x,z'
'-x+y,y,z'
'x,x-y,z'
loop_
_atom_site_label
_atom_site_type_symbol
_atom_site_fract_x
_atom_site_fract_y
_atom_site_fract_z
_atom_site_occupancy
Pm1 Pm 0.0000 0.0000 0.0000 1
Gd1 Gd 0.6667 0.3333 0.5044 1
O1 O 0.0000 0.0000 0.4063 1
O2 O 0.3333 0.6667 0.7549 1
O3 O 0.6667 0.3333 0.1173 1
```


This record from OQMD describes an optimized crystal structure of PmGdTeO2. The functional is PBE-GGA.

Its energy is -36.703 eV/f.u. As for the excess energy over the best structure of this formula in the dataset: 0.082 eV per atom. The calculation puts the calculated density at 7.7 g/cm3.

```
data_PmGdTeO2
_symmetry_space_group_name_H-M 'P 3 m 1'
_symmetry_Int_Tables_number 156
_cell_length_a 3.9709
_cell_length_b 3.9709
_cell_length_c 7.3036
_cell_angle_alpha 90.00
_cell_angle_beta 90.00
_cell_angle_gamma 120.00
loop_
_symmetry_equiv_pos_as_xyz
'x,y,z'
'-y,x-y,z'
'-x+y,-x,z'
'-y,-x,z'
'-x+y,y,z'
'x,x-y,z'
loop_
_atom_site_label
_atom_site_type_symbol
_atom_site_fract_x
_atom_site_fract_y
_atom_site_fract_z
_atom_site_occupancy
Pm1 Pm 0.0000 0.0000 0.0000 1
Gd1 Gd 0.6667 0.3333 0.3943 1
Te1 Te 0.3333 0.6667 0.6937 1
O1 O 0.0000 0.0000 0.3216 1
O2 O 0.6667 0.3333 0.0805 1
```


This record from OQMD describes an optimized crystal structure of PmGdTeO2. The functional is PBE-GGA.

Its energy is -37.114 eV/f.u. As for the excess energy over the best structure of this formula in the dataset: 0.000 eV per atom. The calculation puts the calculated density at 7.6 g/cm3.

```
data_PmGdTeO2
_symmetry_space_group_name_H-M 'I 4 m m'
_symmetry_Int_Tables_number 107
_symmetry_space_group_name_Hall 'I 4 -2'
_cell_length_a 3.9871
_cell_length_b 3.9871
_cell_length_c 12.6736
_cell_angle_alpha 90.00
_cell_angle_beta 90.00
_cell_angle_gamma 90.00
loop_
_atom_site_label
_atom_site_type_symbol
_atom_site_fract_x
_atom_site_fract_y
_atom_site_fract_z
_atom_site_occupancy
Pm1 Pm 0.0000 0.0000 0.0000 1
Gd1 Gd 0.0000 0.0000 0.3207 1
Te1 Te 0.0000 0.0000 0.6597 1
O1 O 0.0000 0.5000 0.4067 1
```